(1)
Below is an optimized crystal structure of Ca8Cl, with properties calculated at the GGA-PBE level.

Properties
- Raw formation energy: -0.209 eV/atom

a b c (Å): 9.5673 9.5673 9.5673
angles (deg): 92.58 92.58 155.49
Closest atoms and distances in Å follow each position.
Element x y z (fractional)
Ca 0.6606 0.0000 0.6606  8 Ca 3.62-3.78
Ca 0.6562 0.6562 0.3124  2 Cl 3.56, 4 Ca 3.78
Ca 0.3394 0.0000 0.3394  8 Ca 3.62-3.78
Ca 0.0000 0.6606 0.6606  8 Ca 3.62-3.78
Ca 0.3438 0.6562 0.0000  2 Cl 3.56, 4 Ca 3.78
Ca 0.0000 0.3394 0.3394  8 Ca 3.62-3.78
Ca 0.6562 0.3438 0.0000  2 Cl 3.56, 4 Ca 3.78
Ca 0.3438 0.3438 0.6876  2 Cl 3.56, 4 Ca 3.78
Cl 0.0000 0.0000 0.0000  8 Ca 3.56


(2)
Below is an optimized crystal structure of PmZn2Ni2Ge, with properties calculated at the GGA-PBE level.

Properties
- Energy of formation: -0.212 eV/atom

a b c (Å): 4.3890 4.3890 5.6593
angles (deg): 90.00 90.00 90.00
Closest atoms and distances in Å follow each position.
Element x y z (fractional)
Zn 0.5000 0.5000 0.2574  4 Ni 2.63, 2 Zn 2.75-2.91
Zn 0.5000 0.5000 0.7426  4 Ni 2.63, 2 Zn 2.75-2.91
Ni 0.5000 0.0000 0.0000  2 Ge 2.19
Ni 0.0000 0.5000 0.0000  2 Ge 2.19
Pm 0.0000 0.0000 0.5000  2 Ge 2.83
Ge 0.0000 0.0000 0.0000  4 Ni 2.19


| no. | final energy (eV per atom) | magnetization (μB/f.u.) |
| --- | --- | --- |
| 1 | -2.193 | 0.0 |
| 2 | -4.125 | 0.0 |